Compound: CoTePO2
Source: Alexandria
Functional: GGA+U
Structure: optimized geometry

Lattice parameters (Å, degrees): 3.8642 3.8642 4.5669 90.00 90.00 90.00
Element x y z (fractional)
Co 0.0000 0.0000 0.0000
Te 0.5000 0.5000 0.5000
P 0.0000 0.0000 0.5000
O 0.0000 0.5000 0.0000
O 0.5000 0.0000 0.0000

Computed properties:
- magnetization (Bohr magnetons per cell) = 2.02
- SG = P4/mmm (123)
- polymorph energy (0 for the lowest one) (meV per atom) = 0.0
- VASP energy (eV/atom) = -4.695
- theoretical density (g/cm³) = 6.1